Entry from Alexandria via LeMat-Bulk: a relaxed structure of P5C3 (GGA-PBE).

Cell: 5.6258 5.7487 7.7194 Å, 90.00 90.00 119.30°
Closest atoms and distances in Å follow each position.
Element x y z (fractional)
P 0.3398 0.6779 0.5901  3 C 1.96
P 0.1400 0.2818 0.2500  2 C 1.80
P 0.7110 0.8428 0.2500  2 C 1.83-1.86
P 0.1299 0.8430 0.2500  2 C 1.83-1.86
P 0.8600 0.7182 0.7500  2 C 1.80
P 0.8702 0.1569 0.7500  2 C 1.83-1.86
P 0.6602 0.3221 0.4099  3 C 1.96
P 0.3398 0.6779 0.9099  3 C 1.96
P 0.6602 0.3221 0.0901  3 C 1.96
P 0.2890 0.1572 0.7500  2 C 1.83-1.86
C 0.9705 0.4785 0.2500  4 P 1.80-1.96
C 0.5088 0.0196 0.2500  4 P 1.86-1.96
C 0.4912 0.9804 0.7500  4 P 1.86-1.96
C 0.5062 0.4783 0.2500  4 P 1.80-1.96
C 0.0295 0.5214 0.7500  4 P 1.80-1.96
C 0.4938 0.5217 0.7500  4 P 1.80-1.96

Summary:
Total DFT energy (no corrections): -5.98 eV per atom
Space-group type: P2_1/m, No. 11
E_form: 0.857 eV per atom

---

Entry from Alexandria via LeMat-Bulk: a relaxed structure of PC2 (GGA-PBE).

Cell: 3.8084 3.8084 10.8975 Å, 90.00 90.00 120.00°
Closest atoms and distances in Å follow each position.
Element x y z (fractional)
P 0.6667 0.3333 0.3693  3 C 1.88
P 0.6667 0.3333 0.1307  3 C 1.88
P 0.3333 0.6667 0.6307  3 C 1.88
P 0.3333 0.6667 0.8693  3 C 1.88
C 0.8724 0.7449 0.2500  2 C 1.46
C 0.2551 0.1276 0.2500  2 C 1.46
C 0.1276 0.8724 0.7500  2 C 1.46
C 0.0000 0.0000 0.5000  6 P 2.62, 6 C 2.85
C 0.1276 0.2551 0.7500  2 C 1.46
C 0.7449 0.8724 0.7500  2 C 1.46
C 0.8724 0.1276 0.2500  2 C 1.46
C 0.0000 0.0000 0.0000  6 P 2.62, 6 C 2.85

Summary:
Total DFT energy (no corrections): -6.33 eV per atom
Space-group type: P6_3/mmc, No. 194
E_form: 1.622 eV per atom

---

Entry from Alexandria via LeMat-Bulk: a relaxed structure of PC4 (GGA-PBE).

Cell: 3.7648 3.7648 3.7648 Å, 109.47 109.47 109.47°
Closest atoms and distances in Å follow each position.
Element x y z (fractional)
C 0.5000 0.0000 0.0000  2 P 1.88
C 0.0000 0.5000 0.0000  2 P 1.88
C 0.0000 0.0000 0.5000  2 P 1.88
C 0.5000 0.5000 0.5000  2 P 1.88
P 0.0000 0.0000 0.0000  8 C 1.88

Summary:
Total DFT energy (no corrections): -5.36 eV per atom
Space-group type: Im-3m, No. 229
E_form: 3.099 eV per atom

---

Entry from Alexandria via LeMat-Bulk: a relaxed structure of PC2 (GGA-PBE).

Cell: 5.6553 5.6553 7.9703 Å, 56.77 56.77 27.95°
Closest atoms and distances in Å follow each position.
Element x y z (fractional)
P 0.4774 0.4774 0.7412  3 C 1.77-1.85
P 0.5226 0.5226 0.2588  3 C 1.77-1.85
C 0.2819 0.2819 0.9610  2 C 1.50
C 0.0160 0.0160 0.4047  1 C 1.35
C 0.9840 0.9840 0.5953  1 C 1.35
C 0.7181 0.7181 0.0390  2 C 1.50

Summary:
Total DFT energy (no corrections): -7.36 eV per atom
Space-group type: C2/m, No. 12
E_form: 0.588 eV per atom

---

Entry from Alexandria via LeMat-Bulk: a relaxed structure of P2C3 (GGA-PBE).

Cell: 6.6751 6.6751 6.6751 Å, 24.95 24.95 24.95°
Closest atoms and distances in Å follow each position.
Element x y z (fractional)
C 0.0000 0.0000 0.0000  6 P 2.19
C 0.2218 0.2218 0.2218  3 P 1.82
C 0.7782 0.7782 0.7782  3 P 1.82
P 0.4070 0.4070 0.4070  3 C 1.82
P 0.5930 0.5930 0.5930  3 C 1.82

Summary:
Total DFT energy (no corrections): -6.27 eV per atom
Space-group type: R-3m, No. 166
E_form: 1.433 eV per atom

---

Entry from Alexandria via LeMat-Bulk: a relaxed structure of PC3 (GGA-PBE).

Cell: 2.6820 3.9419 4.7216 Å, 110.57 90.00 90.06°
Closest atoms and distances in Å follow each position.
Element x y z (fractional)
C 0.0491 0.4215 0.7604  2 C 1.50
C 0.5491 0.4220 0.9029  3 C 1.42-1.50
C 0.5491 0.4226 0.2038  1 C 1.42
P 0.0489 0.2852 0.3618  3 C 1.71-1.77

Summary:
Total DFT energy (no corrections): -7.63 eV per atom
Space-group type: Pm, No. 6
E_form: 0.643 eV per atom

---

Entry from Alexandria via LeMat-Bulk: a relaxed structure of PC2 (GGA-PBE).

Cell: 2.9395 2.9395 11.1929 Å, 90.00 90.00 120.00°
Closest atoms and distances in Å follow each position.
Element x y z (fractional)
C 0.6667 0.3333 0.2859  1 C 1.34
C 0.3333 0.6667 0.5946  1 C 1.34
C 0.0000 0.0000 0.0683  1 C 1.53
C 0.3333 0.6667 0.7141  1 C 1.34
C 0.6667 0.3333 0.4054  1 C 1.34
C 0.0000 0.0000 0.9317  1 C 1.53
P 0.0000 0.0000 0.5000  6 C 2.00
P 0.3333 0.6667 0.8588  1 C 1.62
P 0.6667 0.3333 0.1412  1 C 1.62

Summary:
Total DFT energy (no corrections): -7.03 eV per atom
Space-group type: P-3m1, No. 164
E_form: 0.921 eV per atom

---

Entry from Alexandria via LeMat-Bulk: a relaxed structure of PC3 (GGA-PBE).

Cell: 4.7333 4.7333 4.7333 Å, 33.88 33.88 33.88°
Closest atoms and distances in Å follow each position.
Element x y z (fractional)
C 0.5000 0.5000 0.5000  6 C 1.92
C 0.2472 0.2472 0.2472  3 C 1.92, 3 P 1.97
C 0.7528 0.7528 0.7528  3 C 1.92, 3 P 1.97
P 0.0000 0.0000 0.0000  6 C 1.97

Summary:
Total DFT energy (no corrections): -6.09 eV per atom
Space-group type: R-3m, No. 166
E_form: 2.183 eV per atom

---

Entry from Alexandria via LeMat-Bulk: a relaxed structure of PC8 (GGA-PBE).

Cell: 5.1236 5.1236 5.1236 Å, 112.60 112.60 103.38°
Closest atoms and distances in Å follow each position.
Element x y z (fractional)
C 0.7883 0.7883 0.5765  2 C 1.53, 1 P 1.70
C 0.7883 0.2117 0.0000  2 C 1.53, 1 P 1.70
C 0.2117 0.7883 0.0000  2 C 1.53, 1 P 1.70
C 0.2117 0.2117 0.4235  2 C 1.53, 1 P 1.70
C 0.0000 0.3765 0.3765  3 C 1.40-1.53
C 0.6235 0.0000 0.6235  3 C 1.40-1.53
C 0.0000 0.6235 0.6235  3 C 1.40-1.53
C 0.3765 0.0000 0.3765  3 C 1.40-1.53
P 0.0000 0.0000 0.0000  4 C 1.70

Summary:
Total DFT energy (no corrections): -6.98 eV per atom
Space-group type: I4/mmm, No. 139
E_form: 1.816 eV per atom

---

Entry from Alexandria via LeMat-Bulk: a relaxed structure of PC2 (GGA-PBE).

Cell: 2.8723 2.8723 7.1162 Å, 90.00 90.00 90.00°
Closest atoms and distances in Å follow each position.
Element x y z (fractional)
C 0.5000 0.5000 0.9004  1 C 1.42
C 0.5000 0.5000 0.0996  1 C 1.42
C 0.0000 0.0000 0.4004  1 C 1.42
C 0.0000 0.0000 0.5996  1 C 1.42
P 0.5000 0.0000 0.7500  4 C 1.79
P 0.0000 0.5000 0.2500  4 C 1.79

Summary:
Total DFT energy (no corrections): -7.24 eV per atom
Space-group type: I-4m2, No. 119
E_form: 0.709 eV per atom

---

Entry from Alexandria via LeMat-Bulk: a relaxed structure of PC2 (GGA-PBE).

Cell: 7.1315 2.4743 2.8612 Å, 90.00 90.00 90.00°
Closest atoms and distances in Å follow each position.
Element x y z (fractional)
P 0.5000 0.5000 0.0000  4 C 1.99
P 0.0000 0.0000 0.0000  4 C 1.99
C 0.6945 0.5000 0.5000  2 C 1.47
C 0.1945 0.0000 0.5000  2 C 1.47
C 0.3055 0.5000 0.5000  2 C 1.47
C 0.8055 0.0000 0.5000  2 C 1.47

Summary:
Total DFT energy (no corrections): -7.41 eV per atom
Space-group type: Cmmm, No. 65
E_form: 0.544 eV per atom

---

Entry from Alexandria via LeMat-Bulk: a relaxed structure of PC2 (GGA-PBE).

Cell: 2.4668 2.4668 8.7489 Å, 90.00 90.00 120.00°
Closest atoms and distances in Å follow each position.
Element x y z (fractional)
C 0.3333 0.6667 0.5000  3 C 1.42
C 0.6667 0.3333 0.5000  3 C 1.42
P 0.0000 0.0000 0.0000  6 P 2.47

Summary:
Total DFT energy (no corrections): -7.61 eV per atom
Space-group type: P6/mmm, No. 191
E_form: 0.343 eV per atom